No. 1
# KTcCl2 | Alexandria | meta-GGA SCAN | PBEsol geometry
# Energy relative to the elements, uncorrected   -0.49 eV/atom
# Excess energy over the best structure of this formula in the dataset   0.46 eV/f.u.
# Energy   -15.3261 eV/atom
data_KTcCl2
_cell_length_a 3.5657
_cell_length_b 3.6589
_cell_length_c 14.0304
_cell_angle_alpha 90.00
_cell_angle_beta 90.00
_cell_angle_gamma 90.00
_space_group_name_H-M_alt 'I m m 2'
_space_group_IT_number 44
_space_group_name_Hall 'I 2 -2'
loop_
_atom_site_label
_atom_site_type_symbol
_atom_site_fract_x
_atom_site_fract_y
_atom_site_fract_z
_atom_site_occupancy
K1 K 0.0000 0.0000 0.0000 1
Tc1 Tc 0.0000 0.5000 0.7461 1
Cl1 Cl 0.0000 0.0000 0.6111 1
Cl2 Cl 0.0000 0.5000 0.3228 1



No. 2
# Ba3SbO | Alexandria | meta-GGA SCAN | PBEsol geometry
# Energy relative to the elements, uncorrected   -1.66 eV/atom
# Energy   -34.0901 eV/atom
data_Ba3SbO
_cell_length_a 5.3685
_cell_length_b 5.3685
_cell_length_c 5.3685
_cell_angle_alpha 90.00
_cell_angle_beta 90.00
_cell_angle_gamma 90.00
_space_group_name_H-M_alt 'P m -3 m'
_space_group_IT_number 221
_space_group_name_Hall '-P 4 2 3'
loop_
_atom_site_label
_atom_site_type_symbol
_atom_site_fract_x
_atom_site_fract_y
_atom_site_fract_z
_atom_site_occupancy
Ba1 Ba 0.0000 0.0000 0.5000 1
Sb1 Sb 0.5000 0.5000 0.5000 1
O1 O 0.0000 0.0000 0.0000 1



No. 3
# BaHgIr2 | Alexandria | meta-GGA SCAN | PBEsol geometry
# Formation enthalpy at 0 K   0.385 eV per atom
# Energy   -62.0934 eV/atom
data_BaHgIr2
_cell_length_a 11.7252
_cell_length_b 3.0283
_cell_length_c 5.7217
_cell_angle_alpha 90.00
_cell_angle_beta 118.33
_cell_angle_gamma 90.00
_space_group_name_H-M_alt 'C 1 m 1'
_space_group_IT_number 8
_space_group_name_Hall 'C -2y'
loop_
_atom_site_label
_atom_site_type_symbol
_atom_site_fract_x
_atom_site_fract_y
_atom_site_fract_z
_atom_site_occupancy
Ba1 Ba 0.0000 0.0000 0.0000 1
Hg1 Hg 0.3142 0.5000 0.3113 1
Ir1 Ir 0.0401 0.5000 0.5508 1
Ir2 Ir 0.2221 0.0000 0.5930 1



No. 4
# Al2AgIr | Alexandria | meta-GGA SCAN | PBEsol geometry
# Formation enthalpy at 0 K   -0.519 eV per atom
# Energy   -30.0111 eV/atom
data_Al2AgIr
_cell_length_a 3.7266
_cell_length_b 3.7358
_cell_length_c 8.3639
_cell_angle_alpha 90.00
_cell_angle_beta 90.00
_cell_angle_gamma 90.00
_space_group_name_H-M_alt 'I m m 2'
_space_group_IT_number 44
_space_group_name_Hall 'I 2 -2'
loop_
_atom_site_label
_atom_site_type_symbol
_atom_site_fract_x
_atom_site_fract_y
_atom_site_fract_z
_atom_site_occupancy
Al1 Al 0.0000 0.0000 0.0000 1
Al2 Al 0.0000 0.5000 0.2494 1
Ag1 Ag 0.0000 0.0000 0.4991 1
Ir1 Ir 0.0000 0.5000 0.7489 1



No. 5
# MgRe | Alexandria | meta-GGA SCAN | PBEsol geometry
# Formation enthalpy at 0 K   0.313 eV per atom
# Excess energy over the best structure of this formula in the dataset   0.58 eV/f.u.
# Energy   -37.7227 eV/atom
data_MgRe
_cell_length_a 2.7690
_cell_length_b 4.4957
_cell_length_c 5.0863
_cell_angle_alpha 90.00
_cell_angle_beta 90.00
_cell_angle_gamma 90.00
_space_group_name_H-M_alt 'P m m n'
_space_group_IT_number 59
loop_
_space_group_symop_operation_xyz
'x,y,z'
'-x,-y,-z'
'-x+1/2,-y+1/2,z'
'x+1/2,y+1/2,-z'
'x+1/2,-y,-z'
'-x+1/2,y,z'
'-x,y+1/2,-z'
'x,-y+1/2,z'
loop_
_atom_site_label
_atom_site_type_symbol
_atom_site_fract_x
_atom_site_fract_y
_atom_site_fract_z
_atom_site_occupancy
Mg1 Mg 0.2500 0.2500 0.0851 1
Re1 Re 0.2500 0.7500 0.4260 1



No. 6
# TeOs2S | Alexandria | meta-GGA SCAN | PBEsol geometry
# Energy relative to the elements, uncorrected   1.02 eV/atom
# Energy   -46.6418 eV/atom
data_TeOs2S
_cell_length_a 6.2906
_cell_length_b 6.2906
_cell_length_c 6.2906
_cell_angle_alpha 90.00
_cell_angle_beta 90.00
_cell_angle_gamma 90.00
_space_group_name_H-M_alt 'F m -3 m'
_space_group_IT_number 225
_space_group_name_Hall '-F 4 2 3'
loop_
_atom_site_label
_atom_site_type_symbol
_atom_site_fract_x
_atom_site_fract_y
_atom_site_fract_z
_atom_site_occupancy
Te1 Te 0.0000 0.0000 0.0000 1
Os1 Os 0.2500 0.2500 0.2500 1
S1 S 0.0000 0.0000 0.5000 1



No. 7
# Ti2FeO5 | Alexandria | meta-GGA SCAN | PBEsol geometry
# Energy relative to the elements, uncorrected   -2.84 eV/atom
# Energy   -13.0092 eV/atom
data_Ti2FeO5
_cell_length_a 3.7551
_cell_length_b 9.6478
_cell_length_c 10.0143
_cell_angle_alpha 90.00
_cell_angle_beta 90.00
_cell_angle_gamma 90.00
_space_group_name_H-M_alt 'C m c m'
_space_group_IT_number 63
_space_group_name_Hall '-C 2c 2'
loop_
_atom_site_label
_atom_site_type_symbol
_atom_site_fract_x
_atom_site_fract_y
_atom_site_fract_z
_atom_site_occupancy
Ti1 Ti 0.0000 0.1359 0.0663 1
Fe1 Fe 0.0000 0.1928 0.7500 1
O1 O 0.0000 0.0473 0.6148 1
O2 O 0.0000 0.2140 0.2500 1
O3 O 0.0000 0.3149 0.5597 1



No. 8
# Cs3YTl | Alexandria | meta-GGA SCAN | PBEsol geometry
# Formation enthalpy at 0 K   0.832 eV per atom
# Energy   -41.8941 eV/atom
data_Cs3YTl
_cell_length_a 7.1935
_cell_length_b 7.1935
_cell_length_c 7.1935
_cell_angle_alpha 90.00
_cell_angle_beta 90.00
_cell_angle_gamma 90.00
_space_group_name_H-M_alt 'P m -3 m'
_space_group_IT_number 221
_space_group_name_Hall '-P 4 2 3'
loop_
_atom_site_label
_atom_site_type_symbol
_atom_site_fract_x
_atom_site_fract_y
_atom_site_fract_z
_atom_site_occupancy
Cs1 Cs 0.0000 0.0000 0.5000 1
Y1 Y 0.0000 0.0000 0.0000 1
Tl1 Tl 0.5000 0.5000 0.5000 1



No. 9
# BeReOs2 | Alexandria | meta-GGA SCAN | PBEsol geometry
# Formation enthalpy at 0 K   0.041 eV per atom
# Energy   -54.7617 eV/atom
data_BeReOs2
_cell_length_a 2.7214
_cell_length_b 3.7939
_cell_length_c 5.1026
_cell_angle_alpha 90.00
_cell_angle_beta 90.00
_cell_angle_gamma 90.00
_space_group_name_H-M_alt 'P m m 2'
_space_group_IT_number 25
_space_group_name_Hall 'P 2 -2'
loop_
_atom_site_label
_atom_site_type_symbol
_atom_site_fract_x
_atom_site_fract_y
_atom_site_fract_z
_atom_site_occupancy
Be1 Be 0.0000 0.0000 0.0000 1
Re1 Re 0.5000 0.5000 0.7473 1
Os1 Os 0.0000 0.0000 0.5006 1
Os2 Os 0.5000 0.5000 0.2137 1



No. 10
# Co2SiRh | Alexandria | meta-GGA SCAN | PBEsol geometry
# Energy relative to the elements, uncorrected   -0.39 eV/atom
# Energy   -19.9907 eV/atom
data_Co2SiRh
_cell_length_a 5.6810
_cell_length_b 5.6810
_cell_length_c 5.6810
_cell_angle_alpha 90.00
_cell_angle_beta 90.00
_cell_angle_gamma 90.00
_space_group_name_H-M_alt 'F -4 3 m'
_space_group_IT_number 216
_space_group_name_Hall 'F -4 2 3'
loop_
_atom_site_label
_atom_site_type_symbol
_atom_site_fract_x
_atom_site_fract_y
_atom_site_fract_z
_atom_site_occupancy
Co1 Co 0.0000 0.0000 0.0000 1
Co2 Co 0.2500 0.2500 0.2500 1
Si1 Si 0.0000 0.0000 0.5000 1
Rh1 Rh 0.2500 0.2500 0.7500 1



No. 11
# Zr2Al2Pt | Alexandria | meta-GGA SCAN | PBEsol geometry
# Formation enthalpy at 0 K   -0.960 eV per atom
# Energy   -30.3784 eV/atom
data_Zr2Al2Pt
_cell_length_a 6.4536
_cell_length_b 6.4536
_cell_length_c 4.2914
_cell_angle_alpha 90.00
_cell_angle_beta 90.00
_cell_angle_gamma 90.00
_space_group_name_H-M_alt 'P 4/m b m'
_space_group_IT_number 127
_space_group_name_Hall '-P 4 2ab'
loop_
_atom_site_label
_atom_site_type_symbol
_atom_site_fract_x
_atom_site_fract_y
_atom_site_fract_z
_atom_site_occupancy
Zr1 Zr 0.1696 0.3304 0.0000 1
Al1 Al 0.1395 0.6395 0.5000 1
Pt1 Pt 0.0000 0.0000 0.5000 1



No. 12
# SiAgBr2 | Alexandria | meta-GGA SCAN | PBEsol geometry
# Energy relative to the elements, uncorrected   0.24 eV/atom
# Excess energy over the best structure of this formula in the dataset   0.74 eV/f.u.
# Energy   -19.8403 eV/atom
data_SiAgBr2
_cell_length_a 4.7163
_cell_length_b 3.4084
_cell_length_c 5.5748
_cell_angle_alpha 90.00
_cell_angle_beta 90.11
_cell_angle_gamma 90.00
_space_group_name_H-M_alt 'P 1 2/m 1'
_space_group_IT_number 10
_space_group_name_Hall '-P 2y'
loop_
_atom_site_label
_atom_site_type_symbol
_atom_site_fract_x
_atom_site_fract_y
_atom_site_fract_z
_atom_site_occupancy
Si1 Si 0.0000 0.0000 0.0000 1
Ag1 Ag 0.5000 0.5000 0.5000 1
Br1 Br 0.0000 0.0000 0.5000 1
Br2 Br 0.5000 0.5000 0.0000 1



> Number 1 is which compound?

KTcCl2